A relaxed structure of CuMoW2, computed with PBE.

Properties
* distance to the lowest polymorph of the same formula: 0.161 eV/atom
* magnetic moment: 0.00 μB/cell
* crystal system: tetragonal
* electronic total energy: -79.051 eV for the cell shown
* energy relative to the elements: 31.6 kJ per mole of atoms

a b c (Å): 4.0086 4.0086 7.5634
angles (deg): 90.00 90.00 90.00
Closest atoms and distances in Å follow each position.
Space group I4/mmm (No. 139)
Inequivalent atoms, fractional coordinates:
Cu1 0.0000 0.0000 0.0000  8 W 2.76, 4 Mo 2.83
Mo1 0.0000 0.0000 0.5000  8 W 2.76, 4 Cu 2.83
W1 0.0000 0.5000 0.2500  4 Mo 2.76, 4 Cu 2.76, 4 W 2.83